A geometry-optimized PrCoH6Rh structure. Source: Alexandria, functional PBE-GGA.

Cell lengths 4.608, 4.608, 4.271 Å; angles 90.00, 90.00, 120.00 degrees
Atoms (fractional coordinates):
Pr 0.000 0.000 0.000
Co 0.667 0.333 0.500
H 0.508 0.017 0.247
H 0.508 0.017 0.753
H 0.508 0.492 0.247
H 0.508 0.492 0.753
H 0.983 0.492 0.247
H 0.983 0.492 0.753
Rh 0.333 0.667 0.500

DFT total energy	-42.31	eV for the cell shown
SG	P-6m2, No. 187
calculated volume	8.73	Å³/atom
crystal system	hexagonal



A geometry-optimized PrCoSiH structure. Source: Alexandria, functional PBE-GGA.

Cell lengths 3.910, 3.910, 7.994 Å; angles 90.00, 90.00, 90.00 degrees
Atoms (fractional coordinates):
Pr 0.250 0.250 0.173
Pr 0.750 0.750 0.827
Co 0.250 0.750 0.500
Co 0.750 0.250 0.500
Si 0.250 0.250 0.646
Si 0.750 0.750 0.354
H 0.250 0.750 0.000
H 0.750 0.250 0.000

DFT total energy	-46.91	eV for the cell shown
SG	P4/nmm, No. 129
calculated volume	15.28	Å³/atom
crystal system	tetragonal



A geometry-optimized PrTaCo2H8 structure. Source: Alexandria, functional PBE-GGA.

Cell lengths 7.087, 7.087, 7.087 Å; angles 34.59, 34.59, 34.59 degrees
Atoms (fractional coordinates):
Pr 0.000 0.000 0.000
Ta 0.500 0.500 0.500
Co 0.230 0.230 0.230
Co 0.770 0.770 0.770
H 0.134 0.384 0.780
H 0.220 0.866 0.616
H 0.310 0.310 0.310
H 0.384 0.780 0.134
H 0.616 0.220 0.866
H 0.690 0.690 0.690
H 0.780 0.134 0.384
H 0.866 0.616 0.220

DFT total energy	-58.93	eV for the cell shown
SG	R-3, No. 148
calculated volume	8.53	Å³/atom
crystal system	trigonal



A geometry-optimized PrZnCo2H8 structure. Source: Alexandria, functional PBE-GGA.

Cell lengths 6.102, 6.102, 6.102 Å; angles 43.13, 43.13, 43.13 degrees
Atoms (fractional coordinates):
Pr 0.000 0.000 0.000
Zn 0.500 0.500 0.500
Co 0.196 0.196 0.196
Co 0.804 0.804 0.804
H 0.098 0.864 0.401
H 0.136 0.599 0.902
H 0.295 0.295 0.295
H 0.401 0.098 0.864
H 0.599 0.902 0.136
H 0.705 0.705 0.705
H 0.864 0.401 0.098
H 0.902 0.136 0.599

DFT total energy	-48.79	eV for the cell shown
SG	R-3, No. 148
calculated volume	8.02	Å³/atom
crystal system	trigonal